A plane-wave DFT calculation with SCAN was carried out for HfAl2Hg at its PBEsol-relaxed geometry.

The space group is I-42d (No. 122) and the conventional cell measures 7.426, 7.426 and 5.736 Å, with angles of 90.00, 90.00 and 90.00 degrees. The asymmetric unit holds Hf at (0.000, 0.000, 0.000), Al at (0.225, 0.250, 0.625) and Hg at (0.000, 0.000, 0.500).

The formation energy comes out at 0.082 eV per atom. The total energy comes out at -36.5034 eV/atom. The calculation puts the density of states at the Fermi level at 0.384 states/eV per atom.


A plane-wave DFT calculation with SCAN was carried out for Ho4HfAl15 at its PBEsol-relaxed geometry.

The space group is P4/mmm (No. 123) and the conventional cell measures 4.171, 4.171 and 20.851 Å, with angles of 90.00, 90.00 and 90.00 degrees. The asymmetric unit holds Ho at (0.000, 0.000, 0.101), Ho at (0.000, 0.000, 0.304), Hf at (0.000, 0.000, 0.500), Al at (0.000, 0.500, 0.000), Al at (0.000, 0.500, 0.202), Al at (0.000, 0.500, 0.405), Al at (0.500, 0.500, 0.101), Al at (0.500, 0.500, 0.303) and Al at (0.500, 0.500, 0.500).

The formation energy comes out at -0.437 eV per atom. The total energy comes out at -19.1821 eV/atom. The calculation puts the density of states at the Fermi level at 0.334 states/eV per atom.


- What is the formula in the second record?
  Ho4HfAl15


- Which of these has the lowest formation energy?
  Ho4HfAl15


- formation energy of number 1 (HfAl2Hg)?
  0.082 eV per atom


Copy entry 1 word for word.
A plane-wave DFT calculation with SCAN was carried out for HfAl2Hg at its PBEsol-relaxed geometry.

The space group is I-42d (No. 122) and the conventional cell measures 7.426, 7.426 and 5.736 Å, with angles of 90.00, 90.00 and 90.00 degrees. The asymmetric unit holds Hf at (0.000, 0.000, 0.000), Al at (0.225, 0.250, 0.625) and Hg at (0.000, 0.000, 0.500).

The formation energy comes out at 0.082 eV per atom. The total energy comes out at -36.5034 eV/atom. The calculation puts the density of states at the Fermi level at 0.384 states/eV per atom.